The following is a PBE calculation of a relaxed AlCrNi crystal, from Alexandria via LeMat-Bulk.

Cell lengths 5.731, 5.731, 5.731 Å; angles 90.00, 90.00, 90.00 degrees
Atoms (fractional coordinates):
Al  0.000  0.000  0.000
Al  0.000  0.500  0.500
Al  0.500  0.000  0.500
Al  0.500  0.500  0.000
Cr  0.250  0.250  0.250
Cr  0.250  0.750  0.750
Cr  0.750  0.250  0.750
Cr  0.750  0.750  0.250
Ni  0.000  0.000  0.500
Ni  0.000  0.500  0.000
Ni  0.500  0.000  0.000
Ni  0.500  0.500  0.500

Computed properties:
electronic total energy = -5.899 eV per atom
symmetry = F-43m, No. 216
DOS at the Fermi energy = 18.5 states/eV per cell
energy of formation from the pure elements = 0.48 eV per atom
V = 188 Å³/cell



The following is a PBE calculation of a relaxed Sc2VGe2Ru5 crystal, from Alexandria via LeMat-Bulk.

Cell lengths 9.872, 9.872, 3.213 Å; angles 90.00, 90.00, 90.00 degrees
Atoms (fractional coordinates):
Sc  0.170  0.330  0.000
Sc  0.330  0.830  0.000
Sc  0.670  0.170  0.000
Sc  0.830  0.670  0.000
V  0.000  0.000  0.000
V  0.500  0.500  0.000
Ge  0.132  0.632  0.000
Ge  0.368  0.132  0.000
Ge  0.632  0.868  0.000
Ge  0.868  0.368  0.000
Ru  0.000  0.500  0.500
Ru  0.061  0.803  0.500
Ru  0.197  0.061  0.500
Ru  0.303  0.561  0.500
Ru  0.439  0.303  0.500
Ru  0.500  0.000  0.500
Ru  0.561  0.697  0.500
Ru  0.697  0.439  0.500
Ru  0.803  0.939  0.500
Ru  0.939  0.197  0.500

Computed properties:
electronic total energy = -8.167 eV per atom
symmetry = P4/mbm, No. 127
DOS at the Fermi energy = 11.6 states/eV per cell
energy of formation from the pure elements = -0.43 eV per atom
V = 313 Å³/cell



The following is a PBE calculation of a relaxed AcZnGaAu crystal, from Alexandria via LeMat-Bulk.

Cell lengths 7.241, 7.241, 7.241 Å; angles 90.00, 90.00, 90.00 degrees
Atoms (fractional coordinates):
Ac  0.000  0.000  0.000
Ac  0.000  0.500  0.500
Ac  0.500  0.000  0.500
Ac  0.500  0.500  0.000
Zn  0.250  0.250  0.750
Zn  0.250  0.750  0.250
Zn  0.750  0.250  0.250
Zn  0.750  0.750  0.750
Ga  0.000  0.000  0.500
Ga  0.000  0.500  0.000
Ga  0.500  0.000  0.000
Ga  0.500  0.500  0.500
Au  0.250  0.250  0.250
Au  0.250  0.750  0.750
Au  0.750  0.250  0.750
Au  0.750  0.750  0.250

Computed properties:
electronic total energy = -3.344 eV per atom
symmetry = F-43m, No. 216
DOS at the Fermi energy = 7.1 states/eV per cell
energy of formation from the pure elements = -0.42 eV per atom
V = 380 Å³/cell



The following is a PBE calculation of a relaxed Ce6Si3Pd crystal, from Alexandria via LeMat-Bulk.

Cell lengths 7.245, 8.008, 11.491 Å; angles 90.00, 128.61, 90.00 degrees
Atoms (fractional coordinates):
Ce  0.023  0.105  0.245
Ce  0.023  0.395  0.745
Ce  0.220  0.675  0.064
Ce  0.220  0.825  0.564
Ce  0.408  0.182  0.074
Ce  0.408  0.318  0.574
Ce  0.592  0.682  0.426
Ce  0.592  0.818  0.926
Ce  0.780  0.175  0.436
Ce  0.780  0.325  0.936
Ce  0.977  0.605  0.255
Ce  0.977  0.895  0.755
Si  0.000  0.000  0.000
Si  0.000  0.500  0.500
Si  0.305  0.120  0.760
Si  0.305  0.380  0.260
Si  0.695  0.620  0.740
Si  0.695  0.880  0.240
Pd  0.500  0.000  0.500
Pd  0.500  0.500  0.000

Computed properties:
electronic total energy = -6.048 eV per atom
formation energy without anion corrections = -0.341 eV per atom
symmetry = P2_1/c, No. 14
DOS at the Fermi energy = 55.1 states/eV per cell
V = 521 Å³/cell



The following is a PBE calculation of a relaxed HfTi2TcN crystal, from Alexandria via LeMat-Bulk.

Cell lengths 4.060, 4.060, 4.501 Å; angles 90.00, 90.00, 90.00 degrees
Atoms (fractional coordinates):
Hf  0.000  0.000  0.000
Ti  0.000  0.500  0.500
Ti  0.500  0.000  0.500
Tc  0.500  0.500  0.000
N  0.000  0.000  0.500

Computed properties:
electronic total energy = -9.674 eV per atom
formation energy without anion corrections = -0.787 eV per atom
symmetry = P4/mmm, No. 123
DOS at the Fermi energy = 5.0 states/eV per cell
V = 74 Å³/cell



The following is a PBE calculation of a relaxed BeOsPb4 crystal, from Alexandria via LeMat-Bulk.

Cell lengths 6.155, 6.155, 6.155 Å; angles 60.00, 60.00, 60.00 degrees
Atoms (fractional coordinates):
Be  0.000  0.000  0.000
Os  0.750  0.750  0.750
Pb  0.376  0.376  0.376
Pb  0.376  0.376  0.873
Pb  0.376  0.873  0.376
Pb  0.873  0.376  0.376

Computed properties:
electronic total energy = -3.496 eV per atom
symmetry = F-43m, No. 216
DOS at the Fermi energy = 5.0 states/eV per cell
energy of formation from the pure elements = 1.47 eV per atom
V = 165 Å³/cell



The following is a PBE calculation of a relaxed Mo2C crystal, from Alexandria via LeMat-Bulk.

Cell lengths 4.183, 4.183, 2.765 Å; angles 90.00, 90.00, 120.00 degrees
Atoms (fractional coordinates):
Mo  0.333  0.667  0.000
Mo  0.667  0.333  0.000
C  0.000  0.000  0.500

Computed properties:
electronic total energy = -8.283 eV per atom
symmetry = P6/mmm, No. 191
DOS at the Fermi energy = 3.9 states/eV per cell
energy of formation from the pure elements = 2.01 eV per atom
V = 42 Å³/cell



The following is a PBE calculation of a relaxed SrMgGeIr crystal, from Alexandria via LeMat-Bulk.

Cell lengths 4.203, 4.203, 11.818 Å; angles 90.00, 90.00, 90.00 degrees
Atoms (fractional coordinates):
Sr  0.250  0.250  0.227
Sr  0.750  0.750  0.773
Mg  0.250  0.750  0.500
Mg  0.750  0.250  0.500
Ge  0.250  0.250  0.886
Ge  0.750  0.750  0.114
Ir  0.250  0.750  0.000
Ir  0.750  0.250  0.000

Computed properties:
electronic total energy = -4.567 eV per atom
symmetry = P4/nmm, No. 129
DOS at the Fermi energy = 3.4 states/eV per cell
energy of formation from the pure elements = -0.38 eV per atom
V = 209 Å³/cell



The following is a PBE calculation of a relaxed PmCoPb crystal, from Alexandria via LeMat-Bulk.

Cell lengths 12.110, 4.346, 5.321 Å; angles 90.00, 99.78, 90.00 degrees
Atoms (fractional coordinates):
Pm  0.133  0.000  0.312
Pm  0.367  0.500  0.688
Pm  0.633  0.500  0.312
Pm  0.867  0.000  0.688
Co  0.217  0.000  0.866
Co  0.283  0.500  0.134
Co  0.717  0.500  0.866
Co  0.783  0.000  0.134
Pb  0.091  0.500  0.792
Pb  0.409  0.000  0.208
Pb  0.591  0.000  0.792
Pb  0.909  0.500  0.208

Computed properties:
electronic total energy = -5.407 eV per atom
symmetry = C2/m, No. 12
DOS at the Fermi energy = 9.1 states/eV per cell
energy of formation from the pure elements = -0.22 eV per atom
E above lowest polymorph = 0.00 eV per formula unit
V = 276 Å³/cell



The following is a PBE calculation of a relaxed CuTcW2 crystal, from Alexandria via LeMat-Bulk.

Cell lengths 2.669, 4.413, 5.154 Å; angles 90.00, 99.62, 90.00 degrees
Atoms (fractional coordinates):
Cu  0.000  0.000  0.000
Tc  0.867  0.500  0.265
W  0.362  0.500  0.776
W  0.607  0.000  0.494

Computed properties:
electronic total energy = -9.863 eV per atom
symmetry = Pm, No. 6
DOS at the Fermi energy = 2.3 states/eV per cell
energy of formation from the pure elements = 0.23 eV per atom
E above lowest polymorph = 0.13 eV per formula unit
V = 60 Å³/cell



The following is a PBE calculation of a relaxed LiNd2DySe5 crystal, from Alexandria via LeMat-Bulk.

Cell lengths 8.897, 8.897, 12.470 Å; angles 90.00, 90.00, 153.06 degrees
Atoms (fractional coordinates):
Li  0.014  0.986  0.500
Li  0.986  0.014  0.000
Nd  0.375  0.625  0.315
Nd  0.392  0.608  0.704
Nd  0.608  0.392  0.204
Nd  0.625  0.375  0.815
Dy  0.303  0.697  0.021
Dy  0.697  0.303  0.521
Se  0.001  0.999  0.303
Se  0.138  0.862  0.016
Se  0.192  0.808  0.362
Se  0.214  0.786  0.679
Se  0.453  0.547  0.090
Se  0.547  0.453  0.590
Se  0.786  0.214  0.179
Se  0.808  0.192  0.862
Se  0.862  0.138  0.516
Se  0.999  0.001  0.803

Computed properties:
electronic total energy = -5.472 eV per atom
formation energy without anion corrections = -1.753 eV per atom
symmetry = Cmc2_1, No. 36
V = 447 Å³/cell



The following is a PBE calculation of a relaxed Hf2InAg2 crystal, from Alexandria via LeMat-Bulk.

Cell lengths 4.288, 4.288, 12.485 Å; angles 90.00, 90.00, 90.00 degrees
Atoms (fractional coordinates):
Hf  0.000  0.500  0.250
Hf  0.000  0.500  0.750
Hf  0.500  0.000  0.250
Hf  0.500  0.000  0.750
In  0.000  0.000  0.000
In  0.500  0.500  0.500
Ag  0.000  0.000  0.397
Ag  0.000  0.000  0.603
Ag  0.500  0.500  0.103
Ag  0.500  0.500  0.897

Computed properties:
electronic total energy = -5.342 eV per atom
symmetry = I4/mmm, No. 139
DOS at the Fermi energy = 8.1 states/eV per cell
energy of formation from the pure elements = 0.33 eV per atom
E above lowest polymorph = 1.47 eV per formula unit
V = 230 Å³/cell



The following is a PBE calculation of a relaxed Li2ScAgO crystal, from Alexandria via LeMat-Bulk.

Cell lengths 4.242, 4.242, 4.135 Å; angles 90.00, 90.00, 90.00 degrees
Atoms (fractional coordinates):
Li  0.000  0.500  0.000
Li  0.500  0.000  0.000
Sc  0.000  0.000  0.500
Ag  0.500  0.500  0.500
O  0.000  0.000  0.000

Computed properties:
electronic total energy = -4.780 eV per atom
formation energy without anion corrections = -1.187 eV per atom
symmetry = P4/mmm, No. 123
DOS at the Fermi energy = 1.8 states/eV per cell
V = 74 Å³/cell



The following is a PBE calculation of a relaxed SrLiLa2 crystal, from Alexandria via LeMat-Bulk.

Cell lengths 4.945, 4.945, 12.219 Å; angles 90.00, 90.00, 90.00 degrees
Atoms (fractional coordinates):
Sr  0.000  0.000  0.000
Sr  0.500  0.500  0.500
Li  0.000  0.000  0.500
Li  0.500  0.500  0.000
La  0.000  0.500  0.250
La  0.000  0.500  0.750
La  0.500  0.000  0.250
La  0.500  0.000  0.750

Computed properties:
electronic total energy = -3.155 eV per atom
symmetry = I4/mmm, No. 139
DOS at the Fermi energy = 13.7 states/eV per cell
energy of formation from the pure elements = 0.21 eV per atom
E above lowest polymorph = 0.54 eV per formula unit
V = 299 Å³/cell



The following is a PBE calculation of a relaxed ZrTi3Be crystal, from Alexandria via LeMat-Bulk.

Cell lengths 4.764, 4.764, 4.764 Å; angles 90.00, 90.00, 90.00 degrees
Atoms (fractional coordinates):
Zr  0.000  0.000  0.000
Ti  0.000  0.000  0.500
Ti  0.000  0.500  0.000
Ti  0.500  0.000  0.000
Be  0.500  0.500  0.500

Computed properties:
electronic total energy = -5.695 eV per atom
symmetry = Pm-3m, No. 221
DOS at the Fermi energy = 8.3 states/eV per cell
energy of formation from the pure elements = 1.50 eV per atom
E above lowest polymorph = 5.56 eV per formula unit
V = 108 Å³/cell



The following is a PBE calculation of a relaxed Sc2SiP crystal, from Alexandria via LeMat-Bulk.

Cell lengths 6.611, 6.611, 6.611 Å; angles 90.00, 90.00, 90.00 degrees
Atoms (fractional coordinates):
Sc  0.250  0.250  0.250
Sc  0.250  0.250  0.750
Sc  0.250  0.750  0.250
Sc  0.250  0.750  0.750
Sc  0.750  0.250  0.250
Sc  0.750  0.250  0.750
Sc  0.750  0.750  0.250
Sc  0.750  0.750  0.750
Si  0.000  0.000  0.000
Si  0.000  0.500  0.500
Si  0.500  0.000  0.500
Si  0.500  0.500  0.000
P  0.000  0.000  0.500
P  0.000  0.500  0.000
P  0.500  0.000  0.000
P  0.500  0.500  0.500

Computed properties:
electronic total energy = -6.463 eV per atom
formation energy without anion corrections = -0.589 eV per atom
symmetry = Fm-3m, No. 225
DOS at the Fermi energy = 15.8 states/eV per cell
E above lowest polymorph = 2.25 eV per formula unit
V = 289 Å³/cell



The following is a PBE calculation of a relaxed NaCr3In crystal, from Alexandria via LeMat-Bulk.

Cell lengths 5.277, 5.277, 5.277 Å; angles 90.00, 90.00, 90.00 degrees
Atoms (fractional coordinates):
Na  0.000  0.000  0.000
Cr  0.000  0.500  0.500
Cr  0.500  0.000  0.500
Cr  0.500  0.500  0.000
In  0.500  0.500  0.500

Computed properties:
electronic total energy = -5.280 eV per atom
symmetry = Pm-3m, No. 221
DOS at the Fermi energy = 3.6 states/eV per cell
energy of formation from the pure elements = 1.31 eV per atom
E above lowest polymorph = 0.00 eV per formula unit
V = 147 Å³/cell



The following is a PBE calculation of a relaxed KPm2Nd3Te6 crystal, from Alexandria via LeMat-Bulk.

Cell lengths 10.152, 10.152, 9.182 Å; angles 103.18, 103.18, 25.60 degrees
Atoms (fractional coordinates):
K  0.000  0.000  0.000
Pm  0.331  0.331  0.657
Pm  0.669  0.669  0.343
Nd  0.000  0.000  0.500
Nd  0.338  0.338  0.179
Nd  0.662  0.662  0.821
Te  0.166  0.166  0.582
Te  0.173  0.173  0.087
Te  0.496  0.496  0.739
Te  0.504  0.504  0.261
Te  0.827  0.827  0.913
Te  0.834  0.834  0.418

Computed properties:
electronic total energy = -5.043 eV per atom
formation energy without anion corrections = -1.397 eV per atom
symmetry = C2/m, No. 12
DOS at the Fermi energy = 5.0 states/eV per cell
V = 398 Å³/cell



The following is a PBE calculation of a relaxed Ca2NiHg crystal, from Alexandria via LeMat-Bulk.

Cell lengths 7.091, 7.091, 7.091 Å; angles 90.00, 90.00, 90.00 degrees
Atoms (fractional coordinates):
Ca  0.000  0.000  0.000
Ca  0.000  0.500  0.500
Ca  0.250  0.250  0.250
Ca  0.250  0.750  0.750
Ca  0.500  0.000  0.500
Ca  0.500  0.500  0.000
Ca  0.750  0.250  0.750
Ca  0.750  0.750  0.250
Ni  0.000  0.000  0.500
Ni  0.000  0.500  0.000
Ni  0.500  0.000  0.000
Ni  0.500  0.500  0.500
Hg  0.250  0.250  0.750
Hg  0.250  0.750  0.250
Hg  0.750  0.250  0.250
Hg  0.750  0.750  0.750

Computed properties:
electronic total energy = -2.528 eV per atom
symmetry = F-43m, No. 216
DOS at the Fermi energy = 17.7 states/eV per cell
energy of formation from the pure elements = -0.01 eV per atom
V = 357 Å³/cell



The following is a PBE calculation of a relaxed MoAs2 crystal, from Alexandria via LeMat-Bulk.

Cell lengths 3.154, 3.154, 22.031 Å; angles 90.00, 90.00, 90.00 degrees
Atoms (fractional coordinates):
Mo  0.000  0.250  0.375
Mo  0.000  0.750  0.625
Mo  0.500  0.250  0.125
Mo  0.500  0.750  0.875
As  0.000  0.250  0.809
As  0.000  0.250  0.941
As  0.000  0.750  0.059
As  0.000  0.750  0.191
As  0.500  0.250  0.559
As  0.500  0.250  0.691
As  0.500  0.750  0.309
As  0.500  0.750  0.441

Computed properties:
electronic total energy = -6.725 eV per atom
symmetry = I4_1/amd, No. 141
DOS at the Fermi energy = 10.0 states/eV per cell
energy of formation from the pure elements = -0.02 eV per atom
V = 219 Å³/cell